A relaxed structure of Mg2MnPt, computed with PBE-GGA.

Output
E_tot: -36.47 eV for the cell shown
Symmetry: No. 122

Cell: 5.9239 5.9239 5.9239 Å, 102.44 102.44 124.69°
Last column: nearest neighbours and their distance in Å.
Positions (direct):
Mg1 0.0974 0.6250 0.9724  2 Pt 2.58, 2 Mg 2.78, 2 Mn 2.86
Mg2 0.3750 0.3474 0.4724  2 Pt 2.58, 2 Mg 2.78, 2 Mn 2.86
Mg3 0.6526 0.1250 0.0276  2 Pt 2.58, 2 Mg 2.78, 2 Mn 2.86
Mg4 0.8750 0.9026 0.5276  2 Pt 2.58, 2 Mg 2.78, 2 Mn 2.86
Mn1 0.2500 0.7500 0.5000  2 Pt 2.75, 4 Mg 2.86
Mn2 0.5000 0.5000 0.0000  2 Pt 2.75, 4 Mg 2.86
Pt1 0.0000 0.0000 0.0000  4 Mg 2.58, 2 Mn 2.75
Pt2 0.7500 0.2500 0.5000  4 Mg 2.58, 2 Mn 2.75